Record 1
Below is SrFe2I6 after structural relaxation, with properties calculated at the GGA-PBE level.

Energy (eV for the cell shown): -66.40
DOS(E_F) (states/eV/cell): 21.80
Formation energy without anion corrections (eV per atom): -0.59

Geometry as POSCAR:
```
SrFe2I6
1.0
7.4886 -6.8984 0.0000
7.4886 6.8984 0.0000
-1.7530 0.0000 7.6261
Sr Fe I
2 4 12
direct
0.1165 0.8835 0.7500 Sr
0.8835 0.1165 0.2500 Sr
0.2296 0.3793 0.7125 Fe
0.3793 0.2296 0.2125 Fe
0.6207 0.7704 0.7875 Fe
0.7704 0.6207 0.2875 Fe
0.0424 0.1995 0.6536 I
0.1367 0.5974 0.8875 I
0.1995 0.0424 0.1536 I
0.2847 0.4347 0.4167 I
0.4026 0.8633 0.6125 I
0.4347 0.2847 0.9167 I
0.5653 0.7153 0.0833 I
0.5974 0.1367 0.3875 I
0.7153 0.5653 0.5833 I
0.8005 0.9576 0.8464 I
0.8633 0.4026 0.1125 I
0.9576 0.8005 0.3464 I
```

=====

Record 2
Below is SrFe2I after structural relaxation, with properties calculated at the GGA-PBE level.

Energy (eV for the cell shown): -65.89
DOS(E_F) (states/eV/cell): 22.26
Formation energy without anion corrections (eV per atom): 0.92

Geometry as POSCAR:
```
SrFe2I
1.0
7.0401 0.0000 0.0000
0.0000 7.0401 0.0000
0.0000 0.0000 7.0401
Sr Fe I
4 8 4
direct
0.0000 0.0000 0.0000 Sr
0.0000 0.5000 0.5000 Sr
0.5000 0.0000 0.5000 Sr
0.5000 0.5000 0.0000 Sr
0.2500 0.2500 0.2500 Fe
0.2500 0.2500 0.7500 Fe
0.2500 0.7500 0.2500 Fe
0.2500 0.7500 0.7500 Fe
0.7500 0.2500 0.2500 Fe
0.7500 0.2500 0.7500 Fe
0.7500 0.7500 0.2500 Fe
0.7500 0.7500 0.7500 Fe
0.0000 0.0000 0.5000 I
0.0000 0.5000 0.0000 I
0.5000 0.0000 0.0000 I
0.5000 0.5000 0.5000 I
```

=====

Record 3
Below is SrFe3I after structural relaxation, with properties calculated at the GGA-PBE level.

Energy (eV for the cell shown): -23.33
DOS(E_F) (states/eV/cell): 7.88
Formation energy without anion corrections (eV per atom): 1.06

Geometry as POSCAR:
```
SrFe3I
1.0
4.7872 0.0000 0.0000
0.0000 4.7872 0.0000
0.0000 0.0000 4.7872
Sr Fe I
1 3 1
direct
0.0000 0.0000 0.0000 Sr
0.0000 0.5000 0.5000 Fe
0.5000 0.0000 0.5000 Fe
0.5000 0.5000 0.0000 Fe
0.5000 0.5000 0.5000 I
```

=====

Record 4
Below is SrFeTe2I after structural relaxation, with properties calculated at the GGA-PBE level.

Energy (eV for the cell shown): -15.15
DOS(E_F) (states/eV/cell): 13.68
Formation energy without anion corrections (eV per atom): 0.57

Geometry as POSCAR:
```
SrFeTe2I
1.0
6.2253 0.0000 0.0000
0.0000 6.2253 0.0000
0.0000 0.0000 6.1471
Sr Fe Te I
1 1 2 1
direct
0.0000 0.0000 0.0000 Sr
0.5000 0.5000 0.5000 Fe
0.0000 0.5000 0.0000 Te
0.5000 0.0000 0.0000 Te
0.0000 0.0000 0.5000 I
```